# 1
DFT (GGA-PBE) results for a relaxed Tm3PaMn8 crystal.

Output
The value obtained for the volume is 578 Å³ per cell. The total energy is -0.5900 Ry per atom. The energy relative to the elements comes out at -5 meV/atom.

abc: 5.2798 5.2798 23.9501
angles: 90.00 90.00 120.00
Space group R3m (No. 160, hexagonal axes)
Asymmetric unit:
Tm 0.0000 0.0000 0.0000 (multiplicity 3)
Tm 0.0000 0.0000 0.1257 (multiplicity 3)
Tm 0.0000 0.0000 0.6276 (multiplicity 3)
Pa 0.0000 0.0000 0.4984 (multiplicity 3)
Mn 0.0000 0.0000 0.3139 (multiplicity 3)
Mn 0.0000 0.0000 0.8137 (multiplicity 3)
Mn 0.0004 0.5002 0.0650 (multiplicity 9)
Mn 0.0003 0.5001 0.5625 (multiplicity 9)



# 2
DFT (GGA-PBE) results for a relaxed TmPa2Mn crystal.

Output
The value obtained for the volume is 288 Å³ per cell. The total energy is -0.5883 Ry per atom. The energy relative to the elements comes out at 154 meV/atom.

abc: 3.5870 3.5870 25.8322
angles: 90.00 90.00 120.00
Space group R-3m (No. 166, hexagonal axes)
Asymmetric unit:
Tm 0.0000 0.0000 0.0000 (multiplicity 3)
Pa 0.0000 0.0000 0.2269 (multiplicity 6)
Mn 0.0000 0.0000 0.5000 (multiplicity 3)



# 3
DFT (GGA-PBE) results for a relaxed TmPaMn4 crystal.

Output
The value obtained for the volume is 376 Å³ per cell. The total energy is -0.6199 Ry per atom. The energy relative to the elements comes out at 7 meV/atom.

abc: 7.217 7.217 7.217
angles: 90.00 90.00 90.00
Space group F-43m (No. 216)
Asymmetric unit:
Tm 0.000 0.000 0.000 (multiplicity 4)
Pa 0.250 0.250 0.750 (multiplicity 4)
Mn 0.125 0.125 0.375 (multiplicity 16)



# 4
DFT (GGA-PBE) results for a relaxed TmPa2Mn crystal.

Output
The value obtained for the volume is 91 Å³ per cell. The total energy is -0.5868 Ry per atom. The energy relative to the elements comes out at 175 meV/atom.

abc: 3.200 3.200 8.899
angles: 90.00 90.00 90.00
Space group P4/mmm (No. 123)
Asymmetric unit:
Tm 0.000 0.000 0.000 (multiplicity 1)
Pa 0.500 0.500 0.308 (multiplicity 2)
Mn 0.000 0.000 0.500 (multiplicity 1)



Which of these has the lowest volume? number 4



Which value of energy relative to the elements does entry 1 give? -5 meV/atom



What is the volume in the fourth record? 91 Å³ per cell



Which of these has the highest energy relative to the elements? number 4